No. 1
The following is a PBE calculation of a relaxed structure of HfTl2FePd, from Alexandria.

Lattice parameters (Å, degrees): 5.0691 5.0691 4.7856 90.00 90.00 90.00
Sites, in units of the cell vectors:
Hf: 0.0000 0.0000 0.0000
Tl: 0.0000 0.5000 0.5000
Tl: 0.5000 0.0000 0.5000
Fe: 0.5000 0.5000 0.0000
Pd: 0.5000 0.5000 0.5000

Computed properties:
The distance to the lowest polymorph of the same formula comes out at 0.099 eV/atom. The calculated formation energy is 415 kJ/mol of formula units.


No. 2
The following is a PBE calculation of a relaxed structure of Cs2LiCu, from Alexandria.

Lattice parameters (Å, degrees): 13.2213 13.2213 5.1636 90.00 90.00 90.00
Sites, in units of the cell vectors:
Cs: 0.0824 0.7500 0.1250
Cs: 0.2500 0.0824 0.8750
Cs: 0.2500 0.4176 0.3750
Cs: 0.4176 0.7500 0.6250
Cs: 0.5824 0.2500 0.6250
Cs: 0.7500 0.5824 0.3750
Cs: 0.7500 0.9176 0.8750
Cs: 0.9176 0.2500 0.1250
Li: 0.0000 0.0000 0.5000
Li: 0.0000 0.5000 0.7500
Li: 0.5000 0.0000 0.2500
Li: 0.5000 0.5000 0.0000
Cu: 0.0000 0.0000 0.0000
Cu: 0.0000 0.5000 0.2500
Cu: 0.5000 0.0000 0.7500
Cu: 0.5000 0.5000 0.5000

Computed properties:
The distance to the lowest polymorph of the same formula comes out at 0.000 eV/atom. The calculated formation energy is 105 kJ/mol of formula units.


No. 3
The following is a PBE calculation of a relaxed structure of MgZr2Sc8, from Alexandria.

Lattice parameters (Å, degrees): 8.6176 8.6176 7.3076 104.89 104.89 30.34
Sites, in units of the cell vectors:
Mg: 0.0000 0.0000 0.0000
Zr: 0.2763 0.2763 0.3706
Zr: 0.7237 0.7237 0.6294
Sc: 0.0957 0.0957 0.4546
Sc: 0.1840 0.1840 0.9082
Sc: 0.3588 0.3588 0.8111
Sc: 0.4528 0.4528 0.2801
Sc: 0.5472 0.5472 0.7199
Sc: 0.6412 0.6412 0.1889
Sc: 0.8160 0.8160 0.0918
Sc: 0.9043 0.9043 0.5454

Computed properties:
The calculated formation energy is 16 kJ/mol of formula units.


No. 4
The following is a PBE calculation of a relaxed structure of AgOsCl2, from Alexandria.

Lattice parameters (Å, degrees): 13.4769 2.8879 4.3849 90.00 92.61 90.00
Sites, in units of the cell vectors:
Ag: 0.0000 0.0000 0.0000
Ag: 0.5000 0.5000 0.0000
Os: 0.3241 0.0000 0.9833
Os: 0.8241 0.5000 0.9833
Cl: 0.1710 0.5000 0.9585
Cl: 0.3367 0.5000 0.4820
Cl: 0.6710 0.0000 0.9585
Cl: 0.8367 0.0000 0.4820

Computed properties:
The distance to the lowest polymorph of the same formula comes out at 0.354 eV/atom. The calculation puts the uncorrected formation energy at 604 meV/atom.


No. 5
The following is a PBE calculation of a relaxed structure of DyLu2Th, from Alexandria.

Lattice parameters (Å, degrees): 4.9930 4.9930 4.9107 90.00 90.00 90.00
Sites, in units of the cell vectors:
Dy: 0.0000 0.0000 0.0000
Lu: 0.0000 0.5000 0.5000
Lu: 0.5000 0.0000 0.5000
Th: 0.5000 0.5000 0.0000

Computed properties:
The distance to the lowest polymorph of the same formula comes out at 0.011 eV/atom. The calculated formation energy is 13 kJ/mol of formula units.


No. 6
The following is a PBE calculation of a relaxed structure of Na5CuHO4, from Alexandria.

Lattice parameters (Å, degrees): 10.0711 9.9115 11.9849 90.00 90.00 90.00
Sites, in units of the cell vectors:
Na: 0.0032 0.0882 0.2151
Na: 0.0032 0.4118 0.2151
Na: 0.0750 0.0678 0.5869
Na: 0.0750 0.4322 0.5869
Na: 0.0839 0.7500 0.5578
Na: 0.1156 0.2500 0.0214
Na: 0.1281 0.5662 0.0149
Na: 0.1281 0.9338 0.0149
Na: 0.2161 0.5785 0.3222
Na: 0.2161 0.9215 0.3222
Na: 0.2839 0.0785 0.8222
Na: 0.2839 0.4215 0.8222
Na: 0.3719 0.0662 0.5149
Na: 0.3719 0.4338 0.5149
Na: 0.3844 0.7500 0.5214
Na: 0.4161 0.2500 0.0578
Na: 0.4250 0.5678 0.0869
Na: 0.4250 0.9322 0.0869
Na: 0.4968 0.5882 0.7151
Na: 0.4968 0.9118 0.7151
Na: 0.5032 0.0882 0.2849
Na: 0.5032 0.4118 0.2849
Na: 0.5750 0.0678 0.9131
Na: 0.5750 0.4322 0.9131
Na: 0.5839 0.7500 0.9422
Na: 0.6156 0.2500 0.4786
Na: 0.6281 0.5662 0.4851
Na: 0.6281 0.9338 0.4851
Na: 0.7161 0.5785 0.1778
Na: 0.7161 0.9215 0.1778
Na: 0.7839 0.0785 0.6778
Na: 0.7839 0.4215 0.6778
Na: 0.8719 0.0662 0.9851
Na: 0.8719 0.4338 0.9851
Na: 0.8844 0.7500 0.9786
Na: 0.9161 0.2500 0.4422
Na: 0.9250 0.5678 0.4131
Na: 0.9250 0.9322 0.4131
Na: 0.9968 0.5882 0.7849
Na: 0.9968 0.9118 0.7849
Cu: 0.0152 0.2500 0.7895
Cu: 0.2086 0.2500 0.3846
Cu: 0.2914 0.7500 0.8846
Cu: 0.4848 0.7500 0.2895
Cu: 0.5152 0.2500 0.7105
Cu: 0.7086 0.2500 0.1154
Cu: 0.7914 0.7500 0.6154
Cu: 0.9848 0.7500 0.2105
H: 0.2474 0.6292 0.7035
H: 0.2474 0.8708 0.7035
H: 0.2526 0.1292 0.2035
H: 0.2526 0.3708 0.2035
H: 0.7474 0.6292 0.7965
H: 0.7474 0.8708 0.7965
H: 0.7526 0.1292 0.2965
H: 0.7526 0.3708 0.2965
O: 0.0593 0.7500 0.3532
O: 0.0667 0.1004 0.8796
O: 0.0667 0.3996 0.8796
O: 0.0900 0.1005 0.3950
O: 0.0900 0.3995 0.3950
O: 0.1064 0.7500 0.8866
O: 0.2434 0.0761 0.1350
O: 0.2434 0.4239 0.1350
O: 0.2566 0.5761 0.6350
O: 0.2566 0.9239 0.6350
O: 0.3936 0.2500 0.3866
O: 0.4100 0.6005 0.8950
O: 0.4100 0.8995 0.8950
O: 0.4333 0.6004 0.3796
O: 0.4333 0.8996 0.3796
O: 0.4407 0.2500 0.8532
O: 0.5593 0.7500 0.1468
O: 0.5667 0.1004 0.6204
O: 0.5667 0.3996 0.6204
O: 0.5900 0.1005 0.1050
O: 0.5900 0.3995 0.1050
O: 0.6064 0.7500 0.6134
O: 0.7434 0.0761 0.3650
O: 0.7434 0.4239 0.3650
O: 0.7566 0.5761 0.8650
O: 0.7566 0.9239 0.8650
O: 0.8936 0.2500 0.1134
O: 0.9100 0.6005 0.6050
O: 0.9100 0.8995 0.6050
O: 0.9333 0.6004 0.1204
O: 0.9333 0.8996 0.1204
O: 0.9407 0.2500 0.6468

Computed properties:
For the calculated total energy, the calculation gives -4.257 eV/atom.


No. 7
The following is a PBE calculation of a relaxed structure of ScPa2B, from Alexandria.

Lattice parameters (Å, degrees): 3.3301 3.3301 27.8115 90.00 90.00 120.00
Sites, in units of the cell vectors:
Sc: 0.0000 0.0000 0.0000
Sc: 0.3333 0.6667 0.6667
Sc: 0.6667 0.3333 0.3333
Pa: 0.0000 0.0000 0.1111
Pa: 0.0000 0.0000 0.8889
Pa: 0.3333 0.6667 0.5556
Pa: 0.3333 0.6667 0.7777
Pa: 0.6667 0.3333 0.2223
Pa: 0.6667 0.3333 0.4444
B: 0.0000 0.0000 0.5000
B: 0.3333 0.6667 0.1667
B: 0.6667 0.3333 0.8333

Computed properties:
The calculated formation energy is 73 kJ/mol of formula units.


No. 8
The following is a PBE calculation of a relaxed structure of Pu4InSb2, from Alexandria.

Lattice parameters (Å, degrees): 11.3673 5.8394 5.9497 90.00 103.83 90.00
Sites, in units of the cell vectors:
Pu: 0.0000 0.0000 0.0000
Pu: 0.0000 0.5000 0.5000
Pu: 0.2437 0.0000 0.3587
Pu: 0.2563 0.5000 0.6413
Pu: 0.5000 0.0000 0.5000
Pu: 0.5000 0.5000 0.0000
Pu: 0.7437 0.5000 0.3587
Pu: 0.7563 0.0000 0.6413
In: 0.0000 0.0000 0.5000
In: 0.5000 0.5000 0.5000
Sb: 0.1477 0.5000 0.0835
Sb: 0.3523 0.0000 0.9165
Sb: 0.6477 0.0000 0.0835
Sb: 0.8523 0.5000 0.9165

Computed properties:
The calculation puts the uncorrected formation energy at -19 meV/atom.


No. 9
The following is a PBE calculation of a relaxed structure of Rb2LaSbBr6, from Alexandria.

Lattice parameters (Å, degrees): 8.5928 8.5928 8.5928 116.65 116.65 95.91
Sites, in units of the cell vectors:
Rb: 0.2500 0.7500 0.5000
Rb: 0.7500 0.2500 0.5000
La: 0.0000 0.0000 0.0000
Sb: 0.5000 0.5000 0.0000
Br: 0.2283 0.2283 0.4566
Br: 0.2283 0.7717 0.0000
Br: 0.2562 0.2562 0.0000
Br: 0.7438 0.7438 0.0000
Br: 0.7717 0.2283 0.0000
Br: 0.7717 0.7717 0.5434

Computed properties:
The calculation puts the uncorrected formation energy at -1332 meV/atom.


No. 10
The following is a PBE calculation of a relaxed structure of BC2, from Alexandria.

Lattice parameters (Å, degrees): 5.9530 5.9530 5.3407 100.52 100.52 24.21
Sites, in units of the cell vectors:
B: 0.0294 0.0294 0.3546
B: 0.3625 0.3625 0.5427
B: 0.6375 0.6375 0.4573
B: 0.9706 0.9706 0.6454
C: 0.0502 0.0502 0.9117
C: 0.2894 0.2894 0.2557
C: 0.2887 0.2887 0.7825
C: 0.3714 0.3714 0.0465
C: 0.6286 0.6286 0.9535
C: 0.7113 0.7113 0.2175
C: 0.7106 0.7106 0.7443
C: 0.9498 0.9498 0.0883

Computed properties:
The distance to the lowest polymorph of the same formula comes out at 0.114 eV/atom. The calculated formation energy is 102 kJ/mol of formula units.